No. 1
Density functional theory data (PBE) for ZrO after structural relaxation.

Values from the calculation:
As for the density of states at the Fermi level: 14.196 states/eV per cell. Its crystal system is cubic. The calculation puts the formation energy from raw total energies at -1939 meV/atom.

The structure in CIF format:
```
data_ZrO
_cell_length_a 6.071
_cell_length_b 6.071
_cell_length_c 6.071
_cell_angle_alpha 90.00
_cell_angle_beta 90.00
_cell_angle_gamma 90.00
_space_group_name_H-M_alt 'P m -3 n'
_space_group_IT_number 223
_space_group_name_Hall '-P 4n 2 3'
loop_
_atom_site_label
_atom_site_fract_x
_atom_site_fract_y
_atom_site_fract_z
Zr1 0.000 0.250 0.500
O1 0.000 0.500 0.250
```

No. 2
Density functional theory data (PBE) for ScAl2Co after structural relaxation.

Values from the calculation:
As for the formation energy: -11.0 kJ/mol of atoms. As for the density of states at the Fermi level: 12.321 states/eV per cell. Its crystal system is trigonal.

The structure in CIF format:
```
data_ScAl2Co
_cell_length_a 2.9730
_cell_length_b 2.9730
_cell_length_c 25.6632
_cell_angle_alpha 90.00
_cell_angle_beta 90.00
_cell_angle_gamma 120.00
_space_group_name_H-M_alt 'R -3 m'
_space_group_IT_number 166
_space_group_name_Hall '-R 3 2"'
loop_
_atom_site_label
_atom_site_fract_x
_atom_site_fract_y
_atom_site_fract_z
Sc1 0.0000 0.0000 0.0000
Al1 0.0000 0.0000 0.2358
Co1 0.0000 0.0000 0.5000
```

No. 3
Density functional theory data (PBE) for Sc8CuTc2 after structural relaxation.

Values from the calculation:
As for the formation energy: -8.4 kJ/mol of atoms. As for the density of states at the Fermi level: 21.242 states/eV per cell. Its crystal system is monoclinic.

The structure in CIF format:
```
data_Sc8CuTc2
_cell_length_a 7.992
_cell_length_b 11.988
_cell_length_c 5.287
_cell_angle_alpha 90.00
_cell_angle_beta 108.90
_cell_angle_gamma 90.00
_space_group_name_H-M_alt 'C 1 m 1'
_space_group_IT_number 8
_space_group_name_Hall 'C -2y'
loop_
_atom_site_label
_atom_site_fract_x
_atom_site_fract_y
_atom_site_fract_z
Sc1 0.000 0.000 0.000
Sc2 0.087 0.368 0.790
Sc3 0.175 0.130 0.593
Sc4 0.247 0.500 0.384
Sc5 0.380 0.221 0.192
Cu1 0.371 0.000 0.307
Tc1 0.380 0.312 0.688
```

No. 4
Density functional theory data (PBE) for MgNiH6Pd2 after structural relaxation.

Values from the calculation:
As for the density of states at the Fermi level: 1.313 states/eV per cell. Its crystal system is triclinic. The value obtained for the energy is -39.23 eV for the cell shown.

The structure in CIF format:
```
data_MgNiH6Pd2
_cell_length_a 4.663
_cell_length_b 4.746
_cell_length_c 4.845
_cell_angle_alpha 65.18
_cell_angle_beta 88.79
_cell_angle_gamma 61.01
_space_group_name_H-M_alt 'P 1'
_space_group_IT_number 1
_space_group_name_Hall 'P 1'
loop_
_atom_site_label
_atom_site_fract_x
_atom_site_fract_y
_atom_site_fract_z
Mg1 0.000 0.000 0.000
Ni1 0.415 0.141 0.279
H1 0.042 0.413 0.022
H2 0.192 0.298 0.517
H3 0.460 0.483 0.040
H4 0.495 0.724 0.523
H5 0.582 0.933 0.077
H6 0.750 0.030 0.530
Pd1 0.171 0.624 0.654
Pd2 0.762 0.452 0.331
```

No. 5
Density functional theory data (PBE) for MnFe2Cu after structural relaxation.

Values from the calculation:
As for the formation energy: 17.1 kJ/mol of atoms. As for the density of states at the Fermi level: 4.341 states/eV per cell. Its crystal system is orthorhombic.

The structure in CIF format:
```
data_MnFe2Cu
_cell_length_a 2.502
_cell_length_b 3.629
_cell_length_c 5.023
_cell_angle_alpha 90.00
_cell_angle_beta 90.00
_cell_angle_gamma 90.00
_space_group_name_H-M_alt 'P m m 2'
_space_group_IT_number 25
_space_group_name_Hall 'P 2 -2'
loop_
_atom_site_label
_atom_site_fract_x
_atom_site_fract_y
_atom_site_fract_z
Mn1 0.000 0.000 0.000
Fe1 0.000 0.000 0.514
Fe2 0.500 0.500 0.762
Cu1 0.500 0.500 0.264
```

No. 6
Density functional theory data (PBE) for Al2Rh2O after structural relaxation.

Values from the calculation:
As for the density of states at the Fermi level: 5.203 states/eV per cell. Its crystal system is tetragonal. The calculation puts the energy above the lowest structure with this stoichiometry at 0.0 meV/atom. The calculation puts the formation energy from raw total energies at -701 meV/atom.

The structure in CIF format:
```
data_Al2Rh2O
_cell_length_a 5.455
_cell_length_b 5.455
_cell_length_c 4.343
_cell_angle_alpha 90.00
_cell_angle_beta 90.00
_cell_angle_gamma 90.00
_space_group_name_H-M_alt 'P 4/m b m'
_space_group_IT_number 127
_space_group_name_Hall '-P 4 2ab'
loop_
_atom_site_label
_atom_site_fract_x
_atom_site_fract_y
_atom_site_fract_z
Al1 0.172 0.328 0.000
Rh1 0.164 0.664 0.500
O1 0.000 0.000 0.000
```

No. 7
Density functional theory data (PBE) for Li5Cl after structural relaxation.

Values from the calculation:
As for the density of states at the Fermi level: 3.427 states/eV per cell. Its crystal system is monoclinic. The calculation puts the energy above the lowest structure with this stoichiometry at 0.0 meV/atom. The calculation puts the formation energy from raw total energies at -466 meV/atom.

The structure in CIF format:
```
data_Li5Cl
_cell_length_a 11.512
_cell_length_b 3.250
_cell_length_c 6.608
_cell_angle_alpha 90.00
_cell_angle_beta 95.64
_cell_angle_gamma 90.00
_space_group_name_H-M_alt 'C 1 m 1'
_space_group_IT_number 8
_space_group_name_Hall 'C -2y'
loop_
_atom_site_label
_atom_site_fract_x
_atom_site_fract_y
_atom_site_fract_z
Li1 0.000 0.000 0.000
Li2 0.078 0.000 0.468
Li3 0.208 0.500 0.834
Li4 0.307 0.000 0.213
Li5 0.392 0.000 0.663
Cl1 0.140 0.500 0.185
```

No. 8
Density functional theory data (PBE) for MgTaSe2Br after structural relaxation.

Values from the calculation:
As for the density of states at the Fermi level: 3.733 states/eV per cell. Its crystal system is tetragonal. The calculation puts the energy above the lowest structure with this stoichiometry at 0.0 meV/atom. The calculation puts the formation energy from raw total energies at -235 meV/atom.

The structure in CIF format:
```
data_MgTaSe2Br
_cell_length_a 5.067
_cell_length_b 5.067
_cell_length_c 5.161
_cell_angle_alpha 90.00
_cell_angle_beta 90.00
_cell_angle_gamma 90.00
_space_group_name_H-M_alt 'P 4/m m m'
_space_group_IT_number 123
_space_group_name_Hall '-P 4 2'
loop_
_atom_site_label
_atom_site_fract_x
_atom_site_fract_y
_atom_site_fract_z
Mg1 0.000 0.000 0.000
Ta1 0.500 0.500 0.500
Se1 0.000 0.500 0.500
Br1 0.500 0.500 0.000
```

> What is the formula in the seventh record?

Li5Cl